1.
The following is a DFT calculation (PBE) of Cd3TcF after structural relaxation.

The calculation puts the magnetization at 3.0 μB per formula unit. Its density of states at the Fermi level is 3.62 states/eV/f.u. For the energy above the lowest structure with this stoichiometry, the calculation gives 0.358 eV per atom.

Unit cell a=5.395 b=5.395 c=5.395 alpha=90.00 beta=90.00 gamma=90.00
Space group Pm-3m (No. 221)
Symmetry-distinct sites (fractional):
Cd: 0.000 0.000 0.500 x3
Tc: 0.000 0.000 0.000 x1
F: 0.500 0.500 0.500 x1

=====

2.
The following is a DFT calculation (PBE) of CdTcF6 after structural relaxation.

The calculation puts the magnetization at 3.0 μB per formula unit. For the energy above the lowest structure with this stoichiometry, the calculation gives 0.042 eV per atom.

Unit cell a=5.439 b=8.749 c=5.351 alpha=90.00 beta=102.07 gamma=90.00
Space group C2/m (No. 12)
Symmetry-distinct sites (fractional):
Cd: 0.000 0.000 0.000 x2
Tc: 0.000 0.500 0.500 x2
F: 0.206 0.352 0.733 x8
F: 0.248 0.000 0.715 x4

=====

3.
The following is a DFT calculation (PBE) of Cd2TcF after structural relaxation.

The calculation puts the magnetization at 2.8 μB per formula unit. Its density of states at the Fermi level is 2.54 states/eV/f.u. For the energy above the lowest structure with this stoichiometry, the calculation gives 0.000 eV per atom.

Unit cell a=7.064 b=7.064 c=5.964 alpha=90.00 beta=90.00 gamma=90.00
Space group I-42d (No. 122)
Symmetry-distinct sites (fractional):
Cd: 0.204 0.250 0.125 x8
Tc: 0.000 0.000 0.500 x4
F: 0.000 0.000 0.000 x4

=====

4.
The following is a DFT calculation (PBE) of CdTcF6 after structural relaxation.

The calculation puts the magnetization at 3.0 μB per formula unit. Its density of states at the Fermi level is 0.00 states/eV/f.u. For the energy above the lowest structure with this stoichiometry, the calculation gives 0.000 eV per atom.

Unit cell a=5.3724 b=5.3724 c=14.8630 alpha=90.00 beta=90.00 gamma=120.00
Space group R-3 (No. 148, hexagonal axes)
Symmetry-distinct sites (fractional):
Cd: 0.0000 0.0000 0.0000 x3
Tc: 0.0000 0.0000 0.5000 x3
F: 0.0170 0.3053 0.5773 x18

=====

5.
The following is a DFT calculation (PBE) of Cd3TcF after structural relaxation.

The calculation puts the magnetization at 1.5 μB per formula unit. Its density of states at the Fermi level is 3.03 states/eV/f.u. For the energy above the lowest structure with this stoichiometry, the calculation gives 0.000 eV per atom.

Unit cell a=4.588 b=4.588 c=4.588 alpha=90.00 beta=90.00 gamma=90.00
Space group Pm-3m (No. 221)
Symmetry-distinct sites (fractional):
Cd: 0.000 0.000 0.500 x3
Tc: 0.500 0.500 0.500 x1
F: 0.000 0.000 0.000 x1

=====

6.
The following is a DFT calculation (PBE) of TlCdTc2F after structural relaxation.

The calculation puts the magnetization at 6.0 μB per formula unit. Its density of states at the Fermi level is 4.15 states/eV/f.u. For the energy above the lowest structure with this stoichiometry, the calculation gives 0.000 eV per atom.

Unit cell a=5.239 b=5.239 c=4.298 alpha=90.00 beta=90.00 gamma=90.00
Space group P4/mmm (No. 123)
Symmetry-distinct sites (fractional):
Tl: 0.000 0.000 0.000 x1
Cd: 0.500 0.500 0.500 x1
Tc: 0.000 0.500 0.500 x2
F: 0.500 0.500 0.000 x1

=====

7.
The following is a DFT calculation (PBE) of TlCdTc2F after structural relaxation.

The calculation puts the magnetization at 7.7 μB per formula unit. Its density of states at the Fermi level is 3.18 states/eV/f.u. For the energy above the lowest structure with this stoichiometry, the calculation gives 0.352 eV per atom.

Unit cell a=5.186 b=5.186 c=6.149 alpha=90.00 beta=90.00 gamma=90.00
Space group P4/mmm (No. 123)
Symmetry-distinct sites (fractional):
Tl: 0.000 0.000 0.000 x1
Cd: 0.000 0.000 0.500 x1
Tc: 0.000 0.500 0.500 x2
F: 0.500 0.500 0.000 x1

=====

Q: Number 2 is which compound?
A: CdTcF6

=====

Q: Among the records above, which one has the highest magnetization?
A: number 7

=====

Q: Number 1 is which compound?
A: Cd3TcF

=====

Q: What is the energy above the lowest structure with this stoichiometry in the fourth record?
A: 0.000 eV per atom